First-principles (PBE-GGA) data for a relaxed structure of Ba2CdCuN, as listed in the Alexandria database.

a b c (Å): 5.928 5.928 3.785
angles (deg): 90.00 90.00 90.00
Atoms (fractional coordinates):
Ba  0.000  0.500  0.000
Ba  0.500  0.000  0.000
Cd  0.000  0.000  0.500
Cu  0.500  0.500  0.500
N  0.500  0.500  0.000

Energy: -18.129 eV per formula unit
DOS(E_F): 4.465 states/eV/cell
Formation energy (no corrections): -18.3 kJ per mole of atoms
Magnetization: 0.0 μB per cell

First-principles (PBE-GGA) data for a relaxed structure of Ba2CdCu3O6, as listed in the Alexandria database.

a b c (Å): 3.862 3.862 12.343
angles (deg): 90.00 90.00 90.00
Atoms (fractional coordinates):
Ba  0.000  0.000  0.205
Ba  0.000  0.000  0.795
Cd  0.000  0.000  0.500
Cu  0.500  0.500  0.000
Cu  0.500  0.500  0.378
Cu  0.500  0.500  0.622
O  0.000  0.500  0.372
O  0.000  0.500  0.628
O  0.500  0.000  0.372
O  0.500  0.000  0.628
O  0.500  0.500  0.144
O  0.500  0.500  0.856

Energy: -62.482 eV per formula unit
DOS(E_F): 6.675 states/eV/cell
Formation energy (no corrections): -126.1 kJ per mole of atoms
Magnetization: 0.6 μB per cell

First-principles (PBE-GGA) data for a relaxed structure of BaCd2CuO4, as listed in the Alexandria database.

a b c (Å): 6.076 6.076 11.802
angles (deg): 90.00 90.00 146.56
Atoms (fractional coordinates):
Ba  0.118  0.882  0.750
Ba  0.882  0.118  0.250
Cd  0.370  0.630  0.542
Cd  0.370  0.630  0.958
Cd  0.630  0.370  0.042
Cd  0.630  0.370  0.458
Cu  0.147  0.853  0.250
Cu  0.853  0.147  0.750
O  0.000  0.000  0.000
O  0.000  0.000  0.500
O  0.258  0.742  0.118
O  0.258  0.742  0.382
O  0.427  0.573  0.750
O  0.573  0.427  0.250
O  0.742  0.258  0.618
O  0.742  0.258  0.882

Energy: -37.246 eV per formula unit
DOS(E_F): 10.740 states/eV/cell
Formation energy (no corrections): -115.3 kJ per mole of atoms
Magnetization: 2.1 μB per cell

First-principles (PBE-GGA) data for a relaxed structure of BaCdCuO3, as listed in the Alexandria database.

a b c (Å): 7.278 3.503 8.007
angles (deg): 90.00 102.13 90.00
Atoms (fractional coordinates):
Ba  0.194  0.250  0.216
Ba  0.806  0.750  0.784
Cd  0.350  0.750  0.864
Cd  0.650  0.250  0.136
Cu  0.121  0.250  0.607
Cu  0.879  0.750  0.393
O  0.116  0.250  0.853
O  0.167  0.750  0.503
O  0.446  0.750  0.161
O  0.554  0.250  0.839
O  0.833  0.250  0.497
O  0.884  0.750  0.147

Energy: -29.410 eV per formula unit
DOS(E_F): 5.617 states/eV/cell
Formation energy (no corrections): -122.2 kJ per mole of atoms
Magnetization: 2.0 μB per cell

Repeat the second record exactly.
First-principles (PBE-GGA) data for a relaxed structure of Ba2CdCu3O6, as listed in the Alexandria database.

a b c (Å): 3.862 3.862 12.343
angles (deg): 90.00 90.00 90.00
Atoms (fractional coordinates):
Ba  0.000  0.000  0.205
Ba  0.000  0.000  0.795
Cd  0.000  0.000  0.500
Cu  0.500  0.500  0.000
Cu  0.500  0.500  0.378
Cu  0.500  0.500  0.622
O  0.000  0.500  0.372
O  0.000  0.500  0.628
O  0.500  0.000  0.372
O  0.500  0.000  0.628
O  0.500  0.500  0.144
O  0.500  0.500  0.856

Energy: -62.482 eV per formula unit
DOS(E_F): 6.675 states/eV/cell
Formation energy (no corrections): -126.1 kJ per mole of atoms
Magnetization: 0.6 μB per cell